## AlNi2Rh (PBE)

Data for an optimized crystal structure of AlNi2Rh.

Cell lengths 8.7662, 2.8061, 4.2189 Å; angles 90.00, 106.77, 90.00 degrees
Last column: nearest neighbours and their distance in Å.
Space group C2/m (No. 12)
Asymmetric unit:
Al1 0.0000 0.0000 0.0000  6 Ni 2.52-2.73, 4 Rh 2.53, 2 Al 2.81
Ni1 0.2439 0.5000 0.2459  3 Al 2.52-2.73, 6 Ni 2.53-2.81, 3 Rh 2.60-2.65
Rh1 0.0000 0.5000 0.5000  4 Al 2.53, 6 Ni 2.60-2.65, 2 Rh 2.81

## Properties
D(E_F)   11.0 states/eV per cell
Size of the total moment   0.0805 μB per atom
Raw total energy   -0.445 Ry/atom
Formation enthalpy at 0 K   -383.8 meV/atom

## Nd7Ag2Ru2 (PBE)

Data for an optimized crystal structure of Nd7Ag2Ru2.

Cell lengths 8.0423, 11.3805, 7.1736 Å; angles 90.00, 90.00, 90.00 degrees
Last column: nearest neighbours and their distance in Å.
Space group Cmmm (No. 65)
Asymmetric unit:
Nd1 0.0000 0.0000 0.0000  2 Ru 3.40
Nd2 0.0000 0.5000 0.2479  2 Ru 2.90, 2 Ag 3.20
Nd3 0.2500 0.2500 0.2576  2 Ru 2.79
Ag1 0.1720 0.0000 0.5000  1 Ag 2.77
Ru1 0.0000 0.2988 0.0000  6 Nd 2.79-2.90

## Properties
D(E_F)   19.0 states/eV per cell
Size of the total moment   0.0000 μB per atom
Raw total energy   -0.393 Ry/atom
Formation enthalpy at 0 K   -112.9 meV/atom

Table of calculated volume (Å³/atom), in record order: 12.4, 29.8